Here is a geometry-optimized RbNaSnPt structure from Alexandria via LeMat-Bulk. Energies are from PBE.

Unit cell a=4.695 b=4.695 c=7.213 alpha=108.98 beta=108.98 gamma=59.90
Fractional coordinates of all 4 atoms:
Sn 0.013 0.013 0.879
Pt 0.675 0.675 0.862
Na 0.272 0.272 0.656
Rb 0.470 0.470 0.253

Computed properties:
energy relative to the elements = -0.288 eV/atom
Fermi-level density of states = 0.5157 states/eV/atom
calculated volume = 31.9 Å³/atom
VASP energy = -13.48 eV/cell


Here is a geometry-optimized PrDy2Ho2Tm structure from Alexandria via LeMat-Bulk. Energies are from PBE.

Unit cell a=5.597 b=9.779 c=6.926 alpha=90.00 beta=90.00 gamma=90.00
Fractional coordinates of all 12 atoms:
Dy 0.000 0.333 0.248
Dy 0.500 0.167 0.748
Pr 0.000 0.000 0.000
Ho 0.000 0.334 0.751
Dy 0.500 0.833 0.252
Pr 0.500 0.500 0.500
Dy 0.000 0.667 0.752
Ho 0.500 0.834 0.749
Tm 0.500 0.500 0.000
Ho 0.000 0.666 0.249
Ho 0.500 0.166 0.251
Tm 0.000 0.000 0.500

Computed properties:
energy relative to the elements = 0.070 eV/atom
Fermi-level density of states = 1.4860 states/eV/atom
calculated volume = 31.6 Å³/atom
VASP energy = -54.38 eV/cell